Entry from Alexandria: KPmIn4 after structural relaxation (PBE-GGA).

Cell lengths 6.210, 6.210, 6.210 Å; angles 60.00, 60.00, 60.00 degrees
Element x y z (fractional)
K (0.250, 0.250, 0.250)
In (0.625, 0.625, 0.124)
In (0.625, 0.124, 0.625)
In (0.625, 0.625, 0.625)
In (0.124, 0.625, 0.625)
Pm (0.000, 0.000, 0.000)

Values from the calculation:
**Density of states at the Fermi level**: 3.66 states/eV/f.u.
**ΔH_f (0 K)**: -200 meV per atom
**Total energy**: -3.00 eV/atom
**Space group**: F-43m (216)